# TbDy4Zn4

Crystalline TbDy4Zn4 at its relaxed geometry (PBE, the Alexandria database).

Geometry as CIF:
```
data_TbDy4Zn4
_chemical_formula_sum 'Tb2 Dy8 Zn8'
_symmetry_space_group_name_H-M 'P 42/n'
_symmetry_Int_Tables_number 86
_cell_length_a 8.873
_cell_length_b 8.873
_cell_length_c 6.027
_cell_angle_alpha 90.00
_cell_angle_beta 90.00
_cell_angle_gamma 90.00
loop_
_symmetry_equiv_pos_as_xyz
'x,y,z'
'-x,-y,-z'
'-y,x+1/2,z+1/2'
'y,-x+1/2,-z+1/2'
'-x+1/2,-y+1/2,z'
'x+1/2,y+1/2,-z'
'y+1/2,-x,z+1/2'
'-y+1/2,x,-z+1/2'
loop_
_atom_site_label
_atom_site_type_symbol
_atom_site_fract_x
_atom_site_fract_y
_atom_site_fract_z
Tb1 Tb 0.250 0.250 0.250
Dy1 Dy 0.051 0.660 0.144
Zn1 Zn 0.024 0.623 0.621
```

Output
- Crystal system: tetragonal
- Total energy: -3.19 eV/atom
- DOS(E_F): 23.1 states/eV per cell
- E_form: -0.07 eV/atom
- M_tot: 0.000 μB/cell
- Calculated volume: 474.54 Å³ per cell



# Tb3DyZn

Crystalline Tb3DyZn at its relaxed geometry (PBE, the Alexandria database).

Geometry as CIF:
```
data_Tb3DyZn
_chemical_formula_sum 'Tb12 Dy4 Zn4'
_symmetry_space_group_name_H-M 'C 1 2/m 1'
_symmetry_Int_Tables_number 12
_symmetry_space_group_name_Hall '-C 2y'
_cell_length_a 11.426
_cell_length_b 8.372
_cell_length_c 7.716
_cell_angle_alpha 90.00
_cell_angle_beta 123.46
_cell_angle_gamma 90.00
loop_
_atom_site_label
_atom_site_type_symbol
_atom_site_fract_x
_atom_site_fract_y
_atom_site_fract_z
Tb1 Tb 0.046 0.000 0.305
Tb2 Tb 0.185 0.296 0.707
Dy1 Dy 0.081 0.500 0.268
Zn1 Zn 0.231 0.500 0.056
```

Output
- Crystal system: monoclinic
- Total energy: -3.89 eV/atom
- Offset from the most stable computed form: 0.179 eV per atom
- DOS(E_F): 30.2 states/eV per cell
- E_form: 0.06 eV/atom
- M_tot: 0.001 μB/cell
- Calculated volume: 615.77 Å³ per cell



# Tb3Dy2Zn3

Crystalline Tb3Dy2Zn3 at its relaxed geometry (PBE, the Alexandria database).

Geometry as CIF:
```
data_Tb3Dy2Zn3
_chemical_formula_sum 'Tb6 Dy4 Zn6'
_symmetry_space_group_name_H-M 'I m m m'
_symmetry_Int_Tables_number 71
_symmetry_space_group_name_Hall '-I 2 2'
_cell_length_a 3.613
_cell_length_b 5.188
_cell_length_c 21.434
_cell_angle_alpha 90.00
_cell_angle_beta 90.00
_cell_angle_gamma 90.00
loop_
_atom_site_label
_atom_site_type_symbol
_atom_site_fract_x
_atom_site_fract_y
_atom_site_fract_z
Tb1 Tb 0.000 0.000 0.000
Tb2 Tb 0.000 0.500 0.118
Dy1 Dy 0.000 0.000 0.229
Zn1 Zn 0.000 0.000 0.500
Zn2 Zn 0.000 0.500 0.384
```

Output
- Crystal system: orthorhombic
- Total energy: -3.61 eV/atom
- DOS(E_F): 19.4 states/eV per cell
- E_form: -0.25 eV/atom
- M_tot: 0.001 μB/cell
- Calculated volume: 401.74 Å³ per cell



# Tb3Dy2Zn2

Crystalline Tb3Dy2Zn2 at its relaxed geometry (PBE, the Alexandria database).

Geometry as CIF:
```
data_Tb3Dy2Zn2
_chemical_formula_sum 'Tb6 Dy4 Zn4'
_symmetry_space_group_name_H-M 'C 1 2/m 1'
_symmetry_Int_Tables_number 12
_symmetry_space_group_name_Hall '-C 2y'
_cell_length_a 12.872
_cell_length_b 3.677
_cell_length_c 9.063
_cell_angle_alpha 90.00
_cell_angle_beta 115.83
_cell_angle_gamma 90.00
loop_
_atom_site_label
_atom_site_type_symbol
_atom_site_fract_x
_atom_site_fract_y
_atom_site_fract_z
Tb1 Tb 0.000 0.000 0.000
Tb2 Tb 0.111 0.000 0.441
Dy1 Dy 0.149 0.500 0.812
Zn1 Zn 0.179 0.500 0.225
```

Output
- Crystal system: monoclinic
- Total energy: -3.81 eV/atom
- Offset from the most stable computed form: 0.000 eV per atom
- DOS(E_F): 16.8 states/eV per cell
- E_form: -0.15 eV/atom
- M_tot: 0.000 μB/cell
- Calculated volume: 386.11 Å³ per cell



# TbDy2Zn4

Crystalline TbDy2Zn4 at its relaxed geometry (PBE, the Alexandria database).

Geometry as CIF:
```
data_TbDy2Zn4
_chemical_formula_sum 'Tb2 Dy4 Zn8'
_symmetry_space_group_name_H-M 'I 4/m m m'
_symmetry_Int_Tables_number 139
_symmetry_space_group_name_Hall '-I 4 2'
_cell_length_a 5.147
_cell_length_b 5.147
_cell_length_c 12.468
_cell_angle_alpha 90.00
_cell_angle_beta 90.00
_cell_angle_gamma 90.00
loop_
_atom_site_label
_atom_site_type_symbol
_atom_site_fract_x
_atom_site_fract_y
_atom_site_fract_z
Tb1 Tb 0.000 0.000 0.000
Dy1 Dy 0.000 0.000 0.276
Zn1 Zn 0.000 0.500 0.111
```

Output
- Crystal system: tetragonal
- Total energy: -2.86 eV/atom
- DOS(E_F): 9.7 states/eV per cell
- E_form: -0.16 eV/atom
- M_tot: 0.000 μB/cell
- Calculated volume: 330.37 Å³ per cell



# TbDy3Zn

Crystalline TbDy3Zn at its relaxed geometry (PBE, the Alexandria database).

Geometry as CIF:
```
data_TbDy3Zn
_chemical_formula_sum 'Tb4 Dy12 Zn4'
_symmetry_space_group_name_H-M 'C 1 2/m 1'
_symmetry_Int_Tables_number 12
_symmetry_space_group_name_Hall '-C 2y'
_cell_length_a 28.979
_cell_length_b 3.627
_cell_length_c 5.377
_cell_angle_alpha 90.00
_cell_angle_beta 90.37
_cell_angle_gamma 90.00
loop_
_atom_site_label
_atom_site_type_symbol
_atom_site_fract_x
_atom_site_fract_y
_atom_site_fract_z
Tb1 Tb 0.232 0.000 0.249
Dy1 Dy 0.045 0.500 0.738
Dy2 Dy 0.123 0.500 0.245
Dy3 Dy 0.158 0.000 0.747
Zn1 Zn 0.039 0.000 0.226
```

Output
- Crystal system: monoclinic
- Total energy: -4.06 eV/atom
- Offset from the most stable computed form: 0.000 eV per atom
- DOS(E_F): 22.2 states/eV per cell
- E_form: -0.12 eV/atom
- M_tot: 0.000 μB/cell
- Calculated volume: 565.14 Å³ per cell



# TbDy6Zn

Crystalline TbDy6Zn at its relaxed geometry (PBE, the Alexandria database).

Geometry as CIF:
```
data_TbDy6Zn
_chemical_formula_sum 'Tb3 Dy18 Zn3'
_symmetry_space_group_name_H-M 'R -3'
_symmetry_Int_Tables_number 148
_symmetry_space_group_name_Hall '-R 3'
_cell_length_a 9.2446
_cell_length_b 9.2446
_cell_length_c 9.7387
_cell_angle_alpha 90.00
_cell_angle_beta 90.00
_cell_angle_gamma 120.00
loop_
_atom_site_label
_atom_site_type_symbol
_atom_site_fract_x
_atom_site_fract_y
_atom_site_fract_z
Tb1 Tb 0.0000 0.0000 0.0000
Dy1 Dy 0.0307 0.2497 0.7058
Zn1 Zn 0.0000 0.0000 0.5000
```

Output
- Crystal system: trigonal
- Total energy: -4.15 eV/atom
- DOS(E_F): 29.5 states/eV per cell
- E_form: 0.04 eV/atom
- M_tot: 0.000 μB/cell
- Calculated volume: 720.65 Å³ per cell



# TbDyZn

Crystalline TbDyZn at its relaxed geometry (PBE, the Alexandria database).

Geometry as CIF:
```
data_TbDyZn
_chemical_formula_sum 'Tb4 Dy4 Zn4'
_symmetry_space_group_name_H-M 'P n m a'
_symmetry_Int_Tables_number 62
_symmetry_space_group_name_Hall '-P 2ac 2n'
_cell_length_a 9.862
_cell_length_b 4.934
_cell_length_c 7.055
_cell_angle_alpha 90.00
_cell_angle_beta 90.00
_cell_angle_gamma 90.00
loop_
_atom_site_label
_atom_site_type_symbol
_atom_site_fract_x
_atom_site_fract_y
_atom_site_fract_z
Tb1 Tb 0.126 0.250 0.001
Dy1 Dy 0.124 0.250 0.501
Zn1 Zn 0.125 0.750 0.251
```

Output
- Crystal system: orthorhombic
- Total energy: -3.48 eV/atom
- Offset from the most stable computed form: 0.235 eV per atom
- DOS(E_F): 16.4 states/eV per cell
- E_form: 0.02 eV/atom
- M_tot: 0.001 μB/cell
- Calculated volume: 343.27 Å³ per cell



# Tb3DyZn

Crystalline Tb3DyZn at its relaxed geometry (PBE, the Alexandria database).

Geometry as CIF:
```
data_Tb3DyZn
_chemical_formula_sum 'Tb12 Dy4 Zn4'
_symmetry_space_group_name_H-M 'C 1 2/m 1'
_symmetry_Int_Tables_number 12
_symmetry_space_group_name_Hall '-C 2y'
_cell_length_a 29.083
_cell_length_b 3.639
_cell_length_c 5.384
_cell_angle_alpha 90.00
_cell_angle_beta 90.13
_cell_angle_gamma 90.00
loop_
_atom_site_label
_atom_site_type_symbol
_atom_site_fract_x
_atom_site_fract_y
_atom_site_fract_z
Tb1 Tb 0.045 0.000 0.246
Tb2 Tb 0.124 0.000 0.748
Tb3 Tb 0.159 0.500 0.248
Dy1 Dy 0.232 0.500 0.750
Zn1 Zn 0.040 0.500 0.743
```

Output
- Crystal system: monoclinic
- Total energy: -4.07 eV/atom
- Offset from the most stable computed form: 0.000 eV per atom
- DOS(E_F): 22.0 states/eV per cell
- E_form: -0.12 eV/atom
- M_tot: 0.000 μB/cell
- Calculated volume: 569.70 Å³ per cell



# Tb4DyZn

Crystalline Tb4DyZn at its relaxed geometry (PBE, the Alexandria database).

Geometry as CIF:
```
data_Tb4DyZn
_chemical_formula_sum 'Tb4 Dy1 Zn1'
_symmetry_space_group_name_H-M 'P 4/m m m'
_symmetry_Int_Tables_number 123
_symmetry_space_group_name_Hall '-P 4 2'
_cell_length_a 3.563
_cell_length_b 3.563
_cell_length_c 13.691
_cell_angle_alpha 90.00
_cell_angle_beta 90.00
_cell_angle_gamma 90.00
loop_
_atom_site_label
_atom_site_type_symbol
_atom_site_fract_x
_atom_site_fract_y
_atom_site_fract_z
Tb1 Tb 0.000 0.000 0.131
Tb2 Tb 0.500 0.500 0.317
Dy1 Dy 0.000 0.000 0.500
Zn1 Zn 0.500 0.500 0.000
```

Output
- Crystal system: tetragonal
- Total energy: -4.17 eV/atom
- Offset from the most stable computed form: 0.000 eV per atom
- DOS(E_F): 7.6 states/eV per cell
- E_form: -0.10 eV/atom
- M_tot: 0.000 μB/cell
- Calculated volume: 173.83 Å³ per cell



# TbDyZn6

Crystalline TbDyZn6 at its relaxed geometry (PBE, the Alexandria database).

Geometry as CIF:
```
data_TbDyZn6
_chemical_formula_sum 'Tb2 Dy2 Zn12'
_symmetry_space_group_name_H-M 'A m m 2'
_symmetry_Int_Tables_number 38
_symmetry_space_group_name_Hall 'A 2 -2'
_cell_length_a 4.403
_cell_length_b 6.566
_cell_length_c 10.425
_cell_angle_alpha 90.00
_cell_angle_beta 90.00
_cell_angle_gamma 90.00
loop_
_atom_site_label
_atom_site_type_symbol
_atom_site_fract_x
_atom_site_fract_y
_atom_site_fract_z
Tb1 Tb 0.000 0.000 0.000
Dy1 Dy 0.500 0.000 0.294
Zn1 Zn 0.000 0.000 0.487
Zn2 Zn 0.000 0.206 0.732
Zn3 Zn 0.500 0.000 0.806
Zn4 Zn 0.500 0.205 0.563
```

Output
- Crystal system: orthorhombic
- Total energy: -2.43 eV/atom
- DOS(E_F): 6.2 states/eV per cell
- E_form: -0.32 eV/atom
- M_tot: 0.000 μB/cell
- Calculated volume: 301.40 Å³ per cell



# TbDy6Zn2

Crystalline TbDy6Zn2 at its relaxed geometry (PBE, the Alexandria database).

Geometry as CIF:
```
data_TbDy6Zn2
_chemical_formula_sum 'Tb2 Dy12 Zn4'
_symmetry_space_group_name_H-M 'C 1 2/m 1'
_symmetry_Int_Tables_number 12
_symmetry_space_group_name_Hall '-C 2y'
_cell_length_a 12.432
_cell_length_b 3.619
_cell_length_c 11.733
_cell_angle_alpha 90.00
_cell_angle_beta 109.22
_cell_angle_gamma 90.00
loop_
_atom_site_label
_atom_site_type_symbol
_atom_site_fract_x
_atom_site_fract_y
_atom_site_fract_z
Tb1 Tb 0.000 0.000 0.000
Dy1 Dy 0.024 0.000 0.330
Dy2 Dy 0.187 0.500 0.589
Dy3 Dy 0.190 0.500 0.875
Zn1 Zn 0.148 0.500 0.205
```

Output
- Crystal system: monoclinic
- Total energy: -4.01 eV/atom
- Offset from the most stable computed form: 0.000 eV per atom
- DOS(E_F): 20.4 states/eV per cell
- E_form: -0.14 eV/atom
- M_tot: 0.000 μB/cell
- Calculated volume: 498.47 Å³ per cell